K12Te3Br5 | PBE-GGA | relaxed

Uncorrected formation energy ... -121 kJ per mole of atoms
Mass density ... 2.16 g cm⁻³
D(E_F) ... 0.06 states/eV per atom
Volume ... 48.050 Å³/atom
Uncorrected energy ... -2.803 eV per atom

```
data_K12Te3Br5
_chemical_formula_sum 'K48 Te12 Br20'
_space_group_name_H-M_alt 'P 1'
_space_group_IT_number 1
_cell_length_a 17.0924
_cell_length_b 17.0924
_cell_length_c 17.0924
_cell_angle_alpha 109.47
_cell_angle_beta 109.47
_cell_angle_gamma 109.47
loop_
_space_group_symop_operation_xyz
'x,y,z'
loop_
_atom_site_label
_atom_site_type_symbol
_atom_site_fract_x
_atom_site_fract_y
_atom_site_fract_z
Br1 Br 0.5000 0.5000 0.0000
Br2 Br 0.0000 0.0000 0.0000
Br3 Br 0.0000 0.5000 0.0000
Br4 Br 0.6250 0.7500 0.8750
Br5 Br 0.5000 0.0000 0.5000
Br6 Br 0.7500 0.1250 0.8750
Br7 Br 0.1250 0.3750 0.2500
Br8 Br 0.8750 0.2500 0.6250
Br9 Br 0.1250 0.7500 0.3750
Br10 Br 0.0000 0.5000 0.5000
Br11 Br 0.8750 0.6250 0.7500
Br12 Br 0.2500 0.3750 0.6250
Br13 Br 0.5000 0.0000 0.0000
Br14 Br 0.7500 0.6250 0.3750
Br15 Br 0.3750 0.1250 0.7500
Br16 Br 0.0000 0.0000 0.5000
Br17 Br 0.2500 0.8750 0.1250
Br18 Br 0.6250 0.8750 0.2500
Br19 Br 0.3750 0.2500 0.1250
Br20 Br 0.5000 0.5000 0.5000
Te1 Te 0.8750 0.1250 0.2500
Te2 Te 0.3750 0.6250 0.2500
Te3 Te 0.2500 0.1250 0.3750
Te4 Te 0.1250 0.8750 0.7500
Te5 Te 0.6250 0.2500 0.3750
Te6 Te 0.7500 0.3750 0.1250
Te7 Te 0.7500 0.8750 0.6250
Te8 Te 0.3750 0.7500 0.6250
Te9 Te 0.1250 0.2500 0.8750
Te10 Te 0.2500 0.6250 0.8750
Te11 Te 0.8750 0.7500 0.1250
Te12 Te 0.6250 0.3750 0.7500
K1 K 0.4495 0.6726 0.0864
K2 K 0.3274 0.5505 0.4136
K3 K 0.5861 0.7231 0.6726
K4 K 0.4139 0.2769 0.3274
K5 K 0.5864 0.6370 0.4139
K6 K 0.5505 0.3274 0.9136
K7 K 0.3274 0.7769 0.4139
K8 K 0.0864 0.9139 0.1370
K9 K 0.2231 0.5505 0.6370
K10 K 0.8274 0.9136 0.0505
K11 K 0.9495 0.3630 0.2769
K12 K 0.4139 0.1370 0.5864
K13 K 0.8274 0.9139 0.2769
K14 K 0.7769 0.3274 0.9139
K15 K 0.8630 0.5861 0.9136
K16 K 0.4495 0.7769 0.8630
K17 K 0.1726 0.0864 0.9495
K18 K 0.4136 0.0505 0.3274
K19 K 0.5861 0.8630 0.4136
K20 K 0.6370 0.5864 0.9139
K21 K 0.3630 0.9495 0.7769
K22 K 0.9136 0.0861 0.8630
K23 K 0.8630 0.2769 0.4495
K24 K 0.2769 0.4139 0.8274
K25 K 0.9136 0.8274 0.5505
K26 K 0.6726 0.2231 0.5861
K27 K 0.9495 0.5864 0.1726
K28 K 0.7231 0.5861 0.1726
K29 K 0.0864 0.1726 0.4495
K30 K 0.9139 0.0864 0.6370
K31 K 0.5864 0.9495 0.6726
K32 K 0.3630 0.4136 0.0861
K33 K 0.5505 0.2231 0.1370
K34 K 0.6370 0.0505 0.2231
K35 K 0.1370 0.4139 0.0864
K36 K 0.4136 0.3630 0.5861
K37 K 0.0861 0.1726 0.2231
K38 K 0.1726 0.0861 0.7231
K39 K 0.1370 0.7231 0.5505
K40 K 0.7231 0.1370 0.0505
K41 K 0.0505 0.4136 0.8274
K42 K 0.7769 0.4495 0.3630
K43 K 0.0861 0.9136 0.3630
K44 K 0.0505 0.6370 0.7231
K45 K 0.9139 0.8274 0.7769
K46 K 0.2769 0.8630 0.9495
K47 K 0.2231 0.6726 0.0861
K48 K 0.6726 0.4495 0.5864
```


KTeBr3 | PBE-GGA | relaxed

Uncorrected formation energy ... -78 kJ per mole of atoms
Mass density ... 3.14 g cm⁻³
Volume ... 42.976 Å³/atom
Polymorph energy (0 for the lowest one) ... 7 meV per atom
Uncorrected energy ... -2.664 eV per atom

```
data_KTeBr3
_chemical_formula_sum 'K2 Te2 Br6'
_space_group_name_H-M_alt 'P 1'
_space_group_IT_number 1
_cell_length_a 6.4844
_cell_length_b 6.4301
_cell_length_c 12.1384
_cell_angle_alpha 76.64
_cell_angle_beta 60.78
_cell_angle_gamma 83.16
loop_
_space_group_symop_operation_xyz
'x,y,z'
loop_
_atom_site_label
_atom_site_type_symbol
_atom_site_fract_x
_atom_site_fract_y
_atom_site_fract_z
Te1 Te 0.4792 0.2990 0.4359
Te2 Te 0.6240 0.2270 0.0277
Br1 Br 0.2107 0.5589 0.5856
Br2 Br 0.3183 0.5005 0.2314
Br3 Br 0.4570 0.4275 0.8768
Br4 Br 0.7848 0.0253 0.2322
Br5 Br 0.6463 0.0986 0.5867
Br6 Br 0.8927 0.9671 0.8778
K1 K 0.1627 0.9479 0.3616
K2 K 0.9404 0.5781 0.1019
```


KTe4Br | PBE-GGA | relaxed

Uncorrected formation energy ... -19 kJ per mole of atoms
Mass density ... 5.41 g cm⁻³
D(E_F) ... 1.80 states/eV per atom
Volume ... 32.191 Å³/atom
Uncorrected energy ... -2.754 eV per atom

```
data_KTe4Br
_chemical_formula_sum 'K1 Te4 Br1'
_space_group_name_H-M_alt 'P 1'
_space_group_IT_number 1
_cell_length_a 6.4884
_cell_length_b 6.4884
_cell_length_c 6.4884
_cell_angle_alpha 60.00
_cell_angle_beta 60.00
_cell_angle_gamma 60.00
loop_
_space_group_symop_operation_xyz
'x,y,z'
loop_
_atom_site_label
_atom_site_type_symbol
_atom_site_fract_x
_atom_site_fract_y
_atom_site_fract_z
Br1 Br 0.7500 0.7500 0.7500
Te1 Te 0.3761 0.8716 0.3761
Te2 Te 0.8716 0.3761 0.3761
Te3 Te 0.3761 0.3761 0.8716
Te4 Te 0.3761 0.3761 0.3761
K1 K 0.0000 0.0000 0.0000
```


KTe2Br | PBE-GGA | relaxed

Uncorrected formation energy ... -7 kJ per mole of atoms
Mass density ... 4.37 g cm⁻³
D(E_F) ... 0.73 states/eV per atom
Volume ... 35.578 Å³/atom
Polymorph energy (0 for the lowest one) ... 645 meV per atom
Uncorrected energy ... -2.338 eV per atom

```
data_KTe2Br
_chemical_formula_sum 'K1 Te2 Br1'
_space_group_name_H-M_alt 'P 1'
_space_group_IT_number 1
_cell_length_a 10.9990
_cell_length_b 10.9990
_cell_length_c 10.9990
_cell_angle_alpha 20.46
_cell_angle_beta 20.46
_cell_angle_gamma 20.46
loop_
_space_group_symop_operation_xyz
'x,y,z'
loop_
_atom_site_label
_atom_site_type_symbol
_atom_site_fract_x
_atom_site_fract_y
_atom_site_fract_z
Te1 Te 0.0846 0.0846 0.0846
Te2 Te 0.9154 0.9154 0.9154
K1 K 0.5000 0.5000 0.5000
Br1 Br 0.0000 0.0000 0.0000
```


KTeBr4 | PBE-GGA | relaxed

Uncorrected formation energy ... -74 kJ per mole of atoms
Mass density ... 3.66 g cm⁻³
Volume ... 36.799 Å³/atom
Polymorph energy (0 for the lowest one) ... 8 meV per atom
Uncorrected energy ... -2.585 eV per atom

```
data_KTeBr4
_chemical_formula_sum 'K2 Te2 Br8'
_space_group_name_H-M_alt 'P 1'
_space_group_IT_number 1
_cell_length_a 6.1839
_cell_length_b 7.6702
_cell_length_c 10.2386
_cell_angle_alpha 112.00
_cell_angle_beta 100.45
_cell_angle_gamma 90.00
loop_
_space_group_symop_operation_xyz
'x,y,z'
loop_
_atom_site_label
_atom_site_type_symbol
_atom_site_fract_x
_atom_site_fract_y
_atom_site_fract_z
Br1 Br 0.5888 0.3667 0.2444
Br2 Br 0.0000 0.2514 0.0000
Br3 Br 0.5888 0.8778 0.2444
Br4 Br 0.1831 0.7062 0.4125
Br5 Br 0.4112 0.6333 0.7556
Br6 Br 0.8169 0.2938 0.5875
Br7 Br 0.4112 0.1222 0.7556
Br8 Br 0.0000 0.7486 0.0000
Te1 Te 0.6595 0.4400 0.8801
Te2 Te 0.3405 0.5600 0.1199
K1 K 0.2616 0.2198 0.4396
K2 K 0.7384 0.7802 0.5604
```


KTe2Br2 | PBE-GGA | relaxed

Uncorrected formation energy ... -40 kJ per mole of atoms
Mass density ... 3.67 g cm⁻³
D(E_F) ... 0.23 states/eV per atom
Volume ... 41.085 Å³/atom
Polymorph energy (0 for the lowest one) ... 116 meV per atom
Uncorrected energy ... -2.561 eV per atom

```
data_KTe2Br2
_chemical_formula_sum 'K2 Te4 Br4'
_space_group_name_H-M_alt 'P 1'
_space_group_IT_number 1
_cell_length_a 9.2341
_cell_length_b 9.2341
_cell_length_c 4.8182
_cell_angle_alpha 90.00
_cell_angle_beta 90.00
_cell_angle_gamma 90.00
loop_
_space_group_symop_operation_xyz
'x,y,z'
loop_
_atom_site_label
_atom_site_type_symbol
_atom_site_fract_x
_atom_site_fract_y
_atom_site_fract_z
Br1 Br 0.2383 0.7383 0.5000
Br2 Br 0.2617 0.2383 0.5000
Br3 Br 0.7617 0.2617 0.5000
Br4 Br 0.7383 0.7617 0.5000
K1 K 0.5000 0.5000 0.0000
K2 K 0.0000 0.0000 0.0000
Te1 Te 0.4016 0.9016 0.0000
Te2 Te 0.5984 0.0984 0.0000
Te3 Te 0.9016 0.5984 0.0000
Te4 Te 0.0984 0.4016 0.0000
```


KTeBr5 | PBE-GGA | relaxed

Uncorrected formation energy ... -67 kJ per mole of atoms
Mass density ... 2.94 g cm⁻³
Volume ... 45.754 Å³/atom
Polymorph energy (0 for the lowest one) ... 8 meV per atom
Uncorrected energy ... -2.499 eV per atom

```
data_KTeBr5
_chemical_formula_sum 'K1 Te1 Br5'
_space_group_name_H-M_alt 'P 1'
_space_group_IT_number 1
_cell_length_a 5.9532
_cell_length_b 8.0656
_cell_length_c 8.0656
_cell_angle_alpha 67.31
_cell_angle_beta 68.34
_cell_angle_gamma 68.34
loop_
_space_group_symop_operation_xyz
'x,y,z'
loop_
_atom_site_label
_atom_site_type_symbol
_atom_site_fract_x
_atom_site_fract_y
_atom_site_fract_z
Br1 Br 0.5243 0.8052 0.1948
Br2 Br 0.9603 0.5000 0.5000
Br3 Br 0.2616 0.7211 0.7211
Br4 Br 0.7038 0.2789 0.2789
Br5 Br 0.5243 0.1948 0.8052
Te1 Te 0.5292 0.5000 0.5000
K1 K 0.0273 0.0000 0.0000
```


KTe2Br | PBE-GGA | relaxed

Uncorrected formation energy ... 2 kJ per mole of atoms
Mass density ... 4.86 g cm⁻³
D(E_F) ... 0.52 states/eV per atom
Volume ... 31.978 Å³/atom
Polymorph energy (0 for the lowest one) ... 737 meV per atom
Uncorrected energy ... -2.245 eV per atom

```
data_KTe2Br
_chemical_formula_sum 'K1 Te2 Br1'
_space_group_name_H-M_alt 'P 1'
_space_group_IT_number 1
_cell_length_a 13.3220
_cell_length_b 13.3220
_cell_length_c 13.3220
_cell_angle_alpha 14.43
_cell_angle_beta 14.43
_cell_angle_gamma 14.43
loop_
_space_group_symop_operation_xyz
'x,y,z'
loop_
_atom_site_label
_atom_site_type_symbol
_atom_site_fract_x
_atom_site_fract_y
_atom_site_fract_z
Te1 Te 0.0094 0.0094 0.0094
Te2 Te 0.4906 0.4906 0.4906
Br1 Br 0.2500 0.2500 0.2500
K1 K 0.7500 0.7500 0.7500
```


KTeBr3 | PBE-GGA | relaxed

Uncorrected formation energy ... -79 kJ per mole of atoms
Mass density ... 3.37 g cm⁻³
Volume ... 39.998 Å³/atom
Polymorph energy (0 for the lowest one) ... 0 meV per atom
Uncorrected energy ... -2.671 eV per atom

```
data_KTeBr3
_chemical_formula_sum 'K2 Te2 Br6'
_space_group_name_H-M_alt 'P 1'
_space_group_IT_number 1
_cell_length_a 5.1774
_cell_length_b 9.2985
_cell_length_c 9.3529
_cell_angle_alpha 76.10
_cell_angle_beta 104.25
_cell_angle_gamma 75.48
loop_
_space_group_symop_operation_xyz
'x,y,z'
loop_
_atom_site_label
_atom_site_type_symbol
_atom_site_fract_x
_atom_site_fract_y
_atom_site_fract_z
Br1 Br 0.5936 0.0056 0.0640
Br2 Br 0.5838 0.2871 0.3338
Br3 Br 0.8916 0.8986 0.7185
Br4 Br 0.9007 0.6173 0.4484
Br5 Br 0.7445 0.3160 0.7594
Br6 Br 0.7400 0.5883 0.0228
K1 K 0.2464 0.7328 0.1794
K2 K 0.2382 0.1718 0.6026
Te1 Te 0.8202 0.6236 0.7195
Te2 Te 0.6644 0.2807 0.0628
```


K3TeBr6 | PBE-GGA | relaxed

Uncorrected formation energy ... -109 kJ per mole of atoms
Mass density ... 3.03 g cm⁻³
D(E_F) ... 0.06 states/eV per atom
Volume ... 39.643 Å³/atom
Uncorrected energy ... -2.773 eV per atom

```
data_K3TeBr6
_chemical_formula_sum 'K6 Te2 Br12'
_space_group_name_H-M_alt 'P 1'
_space_group_IT_number 1
_cell_length_a 7.9447
_cell_length_b 8.1663
_cell_length_c 12.3173
_cell_angle_alpha 90.00
_cell_angle_beta 97.18
_cell_angle_gamma 90.00
loop_
_space_group_symop_operation_xyz
'x,y,z'
loop_
_atom_site_label
_atom_site_type_symbol
_atom_site_fract_x
_atom_site_fract_y
_atom_site_fract_z
Br1 Br 0.7761 0.6815 0.5853
Br2 Br 0.3323 0.7834 0.4336
Br3 Br 0.2239 0.3185 0.4147
Br4 Br 0.2761 0.8185 0.0853
Br5 Br 0.8323 0.7166 0.9336
Br6 Br 0.1677 0.2834 0.0664
Br7 Br 0.7239 0.1815 0.9147
Br8 Br 0.1327 0.0473 0.7557
Br9 Br 0.6327 0.4527 0.2557
Br10 Br 0.3673 0.5473 0.7443
Br11 Br 0.6677 0.2166 0.5664
Br12 Br 0.8673 0.9527 0.2443
K1 K 0.5142 0.9171 0.7338
K2 K 0.0000 0.0000 0.5000
K3 K 0.0142 0.5829 0.2338
K4 K 0.5000 0.5000 0.0000
K5 K 0.9858 0.4171 0.7662
K6 K 0.4858 0.0829 0.2662
Te1 Te 0.5000 0.5000 0.5000
Te2 Te 0.0000 0.0000 0.0000
```


K2Te2Br7 | PBE-GGA | relaxed

Uncorrected formation energy ... -67 kJ per mole of atoms
Mass density ... 3.16 g cm⁻³
D(E_F) ... 0.39 states/eV per atom
Volume ... 42.616 Å³/atom
Uncorrected energy ... -2.532 eV per atom

```
data_K2Te2Br7
_chemical_formula_sum 'K2 Te2 Br7'
_space_group_name_H-M_alt 'P 1'
_space_group_IT_number 1
_cell_length_a 8.0504
_cell_length_b 7.7155
_cell_length_c 7.7155
_cell_angle_alpha 99.98
_cell_angle_beta 94.29
_cell_angle_gamma 94.29
loop_
_space_group_symop_operation_xyz
'x,y,z'
loop_
_atom_site_label
_atom_site_type_symbol
_atom_site_fract_x
_atom_site_fract_y
_atom_site_fract_z
Br1 Br 0.2516 0.4344 0.0936
Br2 Br 0.1696 0.6901 0.6901
Br3 Br 0.5000 0.0000 0.0000
Br4 Br 0.2516 0.0936 0.4344
Br5 Br 0.7484 0.9064 0.5656
Br6 Br 0.8304 0.3099 0.3099
Br7 Br 0.7484 0.5656 0.9064
K1 K 0.0000 0.7268 0.2732
K2 K 0.0000 0.2732 0.7268
Te1 Te 0.5073 0.7193 0.7193
Te2 Te 0.4927 0.2807 0.2807
```


KTe2Br | PBE-GGA | relaxed

Uncorrected formation energy ... -27 kJ per mole of atoms
Mass density ... 4.82 g cm⁻³
D(E_F) ... 1.10 states/eV per atom
Volume ... 32.204 Å³/atom
Polymorph energy (0 for the lowest one) ... 442 meV per atom
Uncorrected energy ... -2.540 eV per atom

```
data_KTe2Br
_chemical_formula_sum 'K1 Te2 Br1'
_space_group_name_H-M_alt 'P 1'
_space_group_IT_number 1
_cell_length_a 5.6655
_cell_length_b 5.6655
_cell_length_c 5.6655
_cell_angle_alpha 119.88
_cell_angle_beta 119.88
_cell_angle_gamma 90.20
loop_
_space_group_symop_operation_xyz
'x,y,z'
loop_
_atom_site_label
_atom_site_type_symbol
_atom_site_fract_x
_atom_site_fract_y
_atom_site_fract_z
Br1 Br 0.5000 0.5000 0.0000
Te1 Te 0.2500 0.7500 0.5000
Te2 Te 0.0000 0.0000 0.0000
K1 K 0.7500 0.2500 0.5000
```


Repeat the eighth record exactly.
KTe2Br | PBE-GGA | relaxed

Uncorrected formation energy ... 2 kJ per mole of atoms
Mass density ... 4.86 g cm⁻³
D(E_F) ... 0.52 states/eV per atom
Volume ... 31.978 Å³/atom
Polymorph energy (0 for the lowest one) ... 737 meV per atom
Uncorrected energy ... -2.245 eV per atom

```
data_KTe2Br
_chemical_formula_sum 'K1 Te2 Br1'
_space_group_name_H-M_alt 'P 1'
_space_group_IT_number 1
_cell_length_a 13.3220
_cell_length_b 13.3220
_cell_length_c 13.3220
_cell_angle_alpha 14.43
_cell_angle_beta 14.43
_cell_angle_gamma 14.43
loop_
_space_group_symop_operation_xyz
'x,y,z'
loop_
_atom_site_label
_atom_site_type_symbol
_atom_site_fract_x
_atom_site_fract_y
_atom_site_fract_z
Te1 Te 0.0094 0.0094 0.0094
Te2 Te 0.4906 0.4906 0.4906
Br1 Br 0.2500 0.2500 0.2500
K1 K 0.7500 0.7500 0.7500
```


Question: What is the mass density in the sixth record?
Answer: 3.67 g cm⁻³


Question: Look up the uncorrected formation energy of the sixth one.
Answer: -40 kJ per mole of atoms